4
Lattice="0.000 3.750 3.750 3.750 0.000 3.750 3.750 3.750 0.000" Properties=species:S:1:pos:R:3 comment="PmThHgGe PBE relaxed" n_ef_per_ev_cell=3.13 final_energy_ev_per_atom=-4.71 formation_enthalpy_0k_ev_per_atom=-0.437 volume_a3_per_atom=26.36 space_group="No. 216" pbc="T T T"
Pm 0.000 0.000 0.000
Th 3.750 3.750 3.750
Hg 1.875 1.875 1.875
Ge 5.625 5.625 5.625

=====

18
Lattice="5.644 0.000 0.000 -2.822 4.888 0.000 0.000 0.000 10.123" Properties=species:S:1:pos:R:3 comment="NaPaSbO6 PBE relaxed" n_ef_per_ev_cell=15.12 final_energy_ev_per_atom=-7.01 raw_formation_energy_mev_per_atom=-2048.3 volume_a3_per_atom=15.51 space_group="No. 163" pbc="T T T"
Na 0.000 0.000 0.000
Na 0.000 0.000 5.062
Pa 0.000 3.258 2.531
Pa 2.822 1.629 7.592
Sb 0.000 3.258 7.592
Sb 2.822 1.629 2.531
O -0.944 1.851 6.498
O -1.691 3.144 8.687
O 0.944 1.851 8.687
O -0.747 4.780 6.498
O 2.075 0.108 1.436
O 1.131 1.743 3.626
O 1.691 3.144 6.498
O 0.747 4.780 8.687
O 3.569 0.108 3.626
O 1.878 3.037 1.436
O 4.513 1.743 1.436
O 3.766 3.037 3.626

=====

6
Lattice="5.063 -1.676 0.000 5.063 1.676 0.000 -2.317 0.000 6.456" Properties=species:S:1:pos:R:3 comment="Ti4SnHg PBE relaxed" n_ef_per_ev_cell=4.73 final_energy_ev_per_atom=-6.16 formation_enthalpy_0k_ev_per_atom=-0.180 volume_a3_per_atom=18.27 space_group="No. 12" pbc="T T T"
Ti 0.955 0.000 2.176
Ti -0.177 0.000 5.393
Ti 7.986 0.000 1.063
Ti 6.853 0.000 4.280
Sn 5.063 0.000 0.000
Hg 3.904 0.000 3.228

=====

10
Lattice="3.620 0.000 0.000 0.000 3.620 0.000 0.000 0.000 18.275" Properties=species:S:1:pos:R:3 comment="Tb5MgGa4 PBE relaxed" n_ef_per_ev_cell=5.53 final_energy_ev_per_atom=-4.17 formation_enthalpy_0k_ev_per_atom=-0.486 volume_a3_per_atom=23.94 space_group="No. 123" pbc="T T T"
Tb 0.000 0.000 0.000
Tb 0.000 0.000 3.552
Tb 0.000 0.000 7.087
Tb 0.000 0.000 11.188
Tb 0.000 0.000 14.722
Mg 1.810 1.810 9.137
Ga 1.810 1.810 1.771
Ga 1.810 1.810 5.381
Ga 1.810 1.810 12.894
Ga 1.810 1.810 16.504